This record from Alexandria describes a geometry-optimized Zr4Br structure. The functional is GGA-PBE.

Results
SG	Im-3m (229)
energy above the lowest structure with this stoichiometry	2.886	eV per formula unit
formation energy from raw total energies	563.8	meV per atom
Fermi-level density of states	0.83	states/eV per atom
calculated volume	123	Å³/cell

Lattice parameters (Å, degrees): 5.434 5.434 5.434 109.47 109.47 109.47
Fractional positions:
Zr1 0.000 0.000 0.500
Zr2 0.500 0.000 0.000
Zr3 0.500 0.500 0.500
Zr4 0.000 0.500 0.000
Br1 0.000 0.000 0.000